Record 1
# SrLi3Ge GGA-PBE relaxed
data_SrLi3Ge
_symmetry_space_group_name_H-M 'P 1'
_symmetry_Int_Tables_number 1
_symmetry_space_group_name_Hall 'P 1'
_cell_length_a 5.413
_cell_length_b 5.413
_cell_length_c 5.413
_cell_angle_alpha 90.00
_cell_angle_beta 90.00
_cell_angle_gamma 90.00
loop_
_atom_site_label
_atom_site_type_symbol
_atom_site_fract_x
_atom_site_fract_y
_atom_site_fract_z
Sr1 Sr 0.000 0.000 0.000
Li1 Li 0.000 0.000 0.500
Li2 Li 0.000 0.500 0.000
Li3 Li 0.500 0.000 0.000
Ge1 Ge 0.500 0.500 0.500
# Offset from the most stable computed form, meV/atom: 1268
# Calculated formation energy, meV per atom: 1020


Record 2
# SrLi3Ge GGA-PBE relaxed
data_SrLi3Ge
_symmetry_space_group_name_H-M 'P 1'
_symmetry_Int_Tables_number 1
_symmetry_space_group_name_Hall 'P 1'
_cell_length_a 6.737
_cell_length_b 6.737
_cell_length_c 6.151
_cell_angle_alpha 90.00
_cell_angle_beta 90.00
_cell_angle_gamma 121.91
loop_
_atom_site_label
_atom_site_type_symbol
_atom_site_fract_x
_atom_site_fract_y
_atom_site_fract_z
Sr1 Sr 0.235 0.765 0.750
Sr2 Sr 0.765 0.235 0.250
Li1 Li 0.126 0.874 0.250
Li2 Li 0.302 0.302 0.000
Li3 Li 0.302 0.302 0.500
Li4 Li 0.698 0.698 0.000
Li5 Li 0.698 0.698 0.500
Li6 Li 0.874 0.126 0.750
Ge1 Ge 0.348 0.652 0.250
Ge2 Ge 0.652 0.348 0.750
# Offset from the most stable computed form, meV/atom: 0
# Calculated formation energy, meV per atom: -247


Record 3
# Sr3LiGe GGA-PBE relaxed
data_Sr3LiGe
_symmetry_space_group_name_H-M 'P 1'
_symmetry_Int_Tables_number 1
_symmetry_space_group_name_Hall 'P 1'
_cell_length_a 6.162
_cell_length_b 6.162
_cell_length_c 6.162
_cell_angle_alpha 90.00
_cell_angle_beta 90.00
_cell_angle_gamma 90.00
loop_
_atom_site_label
_atom_site_type_symbol
_atom_site_fract_x
_atom_site_fract_y
_atom_site_fract_z
Sr1 Sr 0.000 0.000 0.500
Sr2 Sr 0.000 0.500 0.000
Sr3 Sr 0.500 0.000 0.000
Li1 Li 0.500 0.500 0.500
Ge1 Ge 0.000 0.000 0.000
# Offset from the most stable computed form, meV/atom: 0
# Calculated formation energy, meV per atom: -154


Record 4
# SrLi6Ge2 GGA-PBE relaxed
data_SrLi6Ge2
_symmetry_space_group_name_H-M 'P 1'
_symmetry_Int_Tables_number 1
_symmetry_space_group_name_Hall 'P 1'
_cell_length_a 6.671
_cell_length_b 6.671
_cell_length_c 4.707
_cell_angle_alpha 97.37
_cell_angle_beta 97.37
_cell_angle_gamma 74.28
loop_
_atom_site_label
_atom_site_type_symbol
_atom_site_fract_x
_atom_site_fract_y
_atom_site_fract_z
Sr1 Sr 0.000 0.000 0.000
Li1 Li 0.100 0.436 0.758
Li2 Li 0.344 0.656 0.500
Li3 Li 0.436 0.100 0.758
Li4 Li 0.564 0.900 0.242
Li5 Li 0.656 0.344 0.500
Li6 Li 0.900 0.564 0.242
Ge1 Ge 0.287 0.287 0.270
Ge2 Ge 0.713 0.713 0.730
# Calculated formation energy, meV per atom: -222


Record 5
# Sr2LiGe7 GGA-PBE relaxed
data_Sr2LiGe7
_symmetry_space_group_name_H-M 'P 1'
_symmetry_Int_Tables_number 1
_symmetry_space_group_name_Hall 'P 1'
_cell_length_a 4.656
_cell_length_b 4.656
_cell_length_c 10.712
_cell_angle_alpha 90.00
_cell_angle_beta 90.00
_cell_angle_gamma 90.00
loop_
_atom_site_label
_atom_site_type_symbol
_atom_site_fract_x
_atom_site_fract_y
_atom_site_fract_z
Sr1 Sr 0.000 0.500 0.250
Sr2 Sr 0.500 0.000 0.750
Li1 Li 0.000 0.000 0.500
Ge1 Ge 0.000 0.000 0.000
Ge2 Ge 0.000 0.500 0.634
Ge3 Ge 0.000 0.500 0.882
Ge4 Ge 0.500 0.000 0.118
Ge5 Ge 0.500 0.000 0.366
Ge6 Ge 0.500 0.500 0.000
Ge7 Ge 0.500 0.500 0.500
# Calculated formation energy, meV per atom: -275


Record 6
# SrLiGe4 GGA-PBE relaxed
data_SrLiGe4
_symmetry_space_group_name_H-M 'P 1'
_symmetry_Int_Tables_number 1
_symmetry_space_group_name_Hall 'P 1'
_cell_length_a 4.350
_cell_length_b 4.350
_cell_length_c 8.662
_cell_angle_alpha 90.00
_cell_angle_beta 90.00
_cell_angle_gamma 120.00
loop_
_atom_site_label
_atom_site_type_symbol
_atom_site_fract_x
_atom_site_fract_y
_atom_site_fract_z
Sr1 Sr 0.000 0.000 0.000
Li1 Li 0.000 0.000 0.500
Ge1 Ge 0.333 0.667 0.276
Ge2 Ge 0.333 0.667 0.724
Ge3 Ge 0.667 0.333 0.276
Ge4 Ge 0.667 0.333 0.724
# Offset from the most stable computed form, meV/atom: 6
# Calculated formation energy, meV per atom: -172


Record 7
# Sr3Li2Ge4 GGA-PBE relaxed
data_Sr3Li2Ge4
_symmetry_space_group_name_H-M 'P 1'
_symmetry_Int_Tables_number 1
_symmetry_space_group_name_Hall 'P 1'
_cell_length_a 6.421
_cell_length_b 6.421
_cell_length_c 9.024
_cell_angle_alpha 99.40
_cell_angle_beta 99.40
_cell_angle_gamma 38.98
loop_
_atom_site_label
_atom_site_type_symbol
_atom_site_fract_x
_atom_site_fract_y
_atom_site_fract_z
Sr1 Sr 0.000 0.000 0.000
Sr2 Sr 0.340 0.340 0.330
Sr3 Sr 0.660 0.660 0.670
Li1 Li 0.383 0.383 0.715
Li2 Li 0.617 0.617 0.285
Ge1 Ge 0.056 0.056 0.398
Ge2 Ge 0.284 0.284 0.940
Ge3 Ge 0.716 0.716 0.060
Ge4 Ge 0.944 0.944 0.602
# Calculated formation energy, meV per atom: -495


Record 8
# SrLiGe3 GGA-PBE relaxed
data_SrLiGe3
_symmetry_space_group_name_H-M 'P 1'
_symmetry_Int_Tables_number 1
_symmetry_space_group_name_Hall 'P 1'
_cell_length_a 5.703
_cell_length_b 5.703
_cell_length_c 5.703
_cell_angle_alpha 90.00
_cell_angle_beta 90.00
_cell_angle_gamma 90.00
loop_
_atom_site_label
_atom_site_type_symbol
_atom_site_fract_x
_atom_site_fract_y
_atom_site_fract_z
Sr1 Sr 0.000 0.000 0.000
Li1 Li 0.500 0.500 0.500
Ge1 Ge 0.000 0.000 0.500
Ge2 Ge 0.000 0.500 0.000
Ge3 Ge 0.500 0.000 0.000
# Offset from the most stable computed form, meV/atom: 1306
# Calculated formation energy, meV per atom: 960